No. 1
DFT (PBE-GGA) results for an optimized crystal structure of BaPt2Se.

Cell lengths 4.435, 4.435, 9.227 Å; angles 90.00, 90.00, 90.00 degrees
Space group I-4m2 (No. 119)
Asymmetric unit:
Ba (0.000, 0.000, 0.000) [2 per cell]
Pt (0.000, 0.000, 0.500) [2 per cell]
Pt (0.000, 0.500, 0.750) [2 per cell]
Se (0.000, 0.500, 0.250) [2 per cell]

Properties
Crystal system: tetragonal
Raw formation energy in eV/atom: -0.094

***

No. 2
DFT (PBE-GGA) results for an optimized crystal structure of TbY3Er.

Cell lengths 9.106, 14.977, 9.586 Å; angles 90.00, 97.99, 90.00 degrees
Space group C2/c (No. 15)
Asymmetric unit:
Tb (0.000, 0.025, 0.250) [4 per cell]
Tb (0.000, 0.409, 0.750) [4 per cell]
Y (0.063, 0.184, 0.944) [8 per cell]
Y (0.100, 0.393, 0.118) [8 per cell]
Y (0.207, 0.224, 0.317) [8 per cell]
Er (0.247, 0.051, 0.546) [8 per cell]

Properties
Energy relative to the lowest polymorph listed for this composition in meV/atom: 119
Crystal system: monoclinic

***

No. 3
DFT (PBE-GGA) results for an optimized crystal structure of YHfO2.

Cell lengths 5.117, 5.117, 10.263 Å; angles 90.00, 90.00, 90.00 degrees
Space group I-42d (No. 122)
Asymmetric unit:
Y (0.000, 0.000, 0.000) [4 per cell]
Hf (0.000, 0.000, 0.500) [4 per cell]
O (0.212, 0.250, 0.625) [8 per cell]

Properties
Crystal system: tetragonal
Raw formation energy in eV/atom: -2.417

***

No. 4
DFT (PBE-GGA) results for an optimized crystal structure of Li2Ac2Pt.

Cell lengths 4.761, 5.247, 10.678 Å; angles 90.00, 90.00, 90.00 degrees
Space group Immm (No. 71)
Asymmetric unit:
Li (0.237, 0.000, 0.000) [4 per cell]
Ac (0.000, 0.000, 0.321) [4 per cell]
Pt (0.000, 0.500, 0.000) [2 per cell]

Properties
E in eV per cell: -40.244
Crystal system: orthorhombic

***

No. 5
DFT (PBE-GGA) results for an optimized crystal structure of SrTaMn.

Cell lengths 4.0469, 4.0469, 5.3524 Å; angles 90.00, 90.00, 120.00 degrees
Space group P-6m2 (No. 187)
Asymmetric unit:
Sr (0.0000, 0.0000, 0.0000) [1 per cell]
Ta (0.6667, 0.3333, 0.5000) [1 per cell]
Mn (0.3333, 0.6667, 0.5000) [1 per cell]

Properties
Energy relative to the lowest polymorph listed for this composition in meV/atom: 341
Crystal system: hexagonal

***

No. 6
DFT (PBE-GGA) results for an optimized crystal structure of CuRuRhO2.

Cell lengths 3.691, 3.691, 5.303 Å; angles 90.00, 90.00, 90.00 degrees
Space group P4/mmm (No. 123)
Asymmetric unit:
Cu (0.000, 0.000, 0.000) [1 per cell]
Ru (0.500, 0.500, 0.500) [1 per cell]
Rh (0.500, 0.500, 0.000) [1 per cell]
O (0.000, 0.500, 0.500) [2 per cell]

Properties
Crystal system: tetragonal
Raw formation energy in eV/atom: 0.084

***

No. 7
DFT (PBE-GGA) results for an optimized crystal structure of Pm6Sm12Th.

Cell lengths 12.2204, 12.2204, 15.2320 Å; angles 90.00, 90.00, 120.00 degrees
Space group R-3 (No. 148, hexagonal axes)
Asymmetric unit:
Pm (0.0146, 0.4247, 0.1818) [18 per cell]
Sm (0.0105, 0.8364, 0.6892) [18 per cell]
Sm (0.0480, 0.8544, 0.9154) [18 per cell]
Th (0.0000, 0.0000, 0.5000) [3 per cell]

Properties
Energy relative to the lowest polymorph listed for this composition in meV/atom: 11
Crystal system: trigonal

***

No. 8
DFT (PBE-GGA) results for an optimized crystal structure of AlCdPt2.

Cell lengths 5.877, 7.494, 2.936 Å; angles 90.00, 90.00, 90.00 degrees
Space group Cmmm (No. 65)
Asymmetric unit:
Al (0.000, 0.000, 0.000) [2 per cell]
Cd (0.000, 0.500, 0.000) [2 per cell]
Pt (0.250, 0.250, 0.500) [4 per cell]

Properties
E in eV per cell: -38.075
Crystal system: orthorhombic

***

No. 9
DFT (PBE-GGA) results for an optimized crystal structure of TlCoTe2I.

Cell lengths 5.050, 5.050, 6.065 Å; angles 90.00, 90.00, 90.00 degrees
Space group P4/mmm (No. 123)
Asymmetric unit:
Tl (0.000, 0.000, 0.000) [1 per cell]
Co (0.500, 0.500, 0.500) [1 per cell]
Te (0.000, 0.500, 0.500) [2 per cell]
I (0.500, 0.500, 0.000) [1 per cell]

Properties
Energy relative to the lowest polymorph listed for this composition in meV/atom: 0
Crystal system: tetragonal
Raw formation energy in eV/atom: 0.084

***

No. 10
DFT (PBE-GGA) results for an optimized crystal structure of ZrCdCo.

Cell lengths 6.179, 6.179, 6.179 Å; angles 90.00, 90.00, 90.00 degrees
Space group F-43m (No. 216)
Asymmetric unit:
Zr (0.000, 0.000, 0.000) [4 per cell]
Cd (0.000, 0.000, 0.500) [4 per cell]
Co (0.250, 0.250, 0.250) [4 per cell]

Properties
Energy relative to the lowest polymorph listed for this composition in meV/atom: 360
Crystal system: cubic

***

No. 11
DFT (PBE-GGA) results for an optimized crystal structure of Sc6Ni2Pb.

Cell lengths 8.866, 9.039, 9.455 Å; angles 90.00, 90.00, 90.00 degrees
Space group Immm (No. 71)
Asymmetric unit:
Sc (0.000, 0.218, 0.232) [8 per cell]
Sc (0.199, 0.500, 0.177) [8 per cell]
Sc (0.205, 0.314, 0.500) [8 per cell]
Ni (0.000, 0.358, 0.000) [4 per cell]
Ni (0.000, 0.500, 0.370) [4 per cell]
Pb (0.000, 0.000, 0.000) [2 per cell]
Pb (0.000, 0.000, 0.500) [2 per cell]

Properties
E in eV per cell: -226.675
Crystal system: orthorhombic

***

No. 12
DFT (PBE-GGA) results for an optimized crystal structure of AcTb2Pm5Dy.

Cell lengths 5.576, 24.411, 9.463 Å; angles 90.00, 90.00, 90.00 degrees
Space group Cmc2_1 (No. 36)
Asymmetric unit:
Ac (0.000, 0.102, 0.000) [4 per cell]
Tb (0.000, 0.327, 0.251) [4 per cell]
Tb (0.000, 0.388, 0.853) [4 per cell]
Pm (0.000, 0.024, 0.325) [4 per cell]
Pm (0.000, 0.105, 0.603) [4 per cell]
Pm (0.000, 0.191, 0.296) [4 per cell]
Pm (0.000, 0.242, 0.936) [4 per cell]
Pm (0.000, 0.491, 0.103) [4 per cell]
Dy (0.000, 0.261, 0.609) [4 per cell]

Properties
E in eV per cell: -161.770
Crystal system: orthorhombic